# 1
First-principles (PBE) data for HfUSnS6 after structural relaxation, as listed in the Alexandria database.

Computed properties:
Spin magnetization (μB/cell): 0.2
Uncorrected formation energy (eV per formula unit): -9.73

Unit cell a=6.579 b=6.579 c=12.174 alpha=90.00 beta=90.00 gamma=120.00
Fractional coordinates of all 18 atoms:
1 S 0.636 0.002 0.869
2 S 0.364 0.366 0.369
3 S 0.366 0.002 0.631
4 S 0.998 0.634 0.869
5 S 0.634 0.998 0.369
6 S 0.636 0.634 0.631
7 S 0.998 0.364 0.631
8 S 0.002 0.366 0.131
9 S 0.002 0.636 0.369
10 S 0.364 0.998 0.131
11 S 0.366 0.364 0.869
12 S 0.634 0.636 0.131
13 Hf 0.333 0.667 0.250
14 Hf 0.667 0.333 0.750
15 U 0.333 0.667 0.750
16 U 0.667 0.333 0.250
17 Sn 0.000 0.000 0.000
18 Sn 0.000 0.000 0.500

---

# 2
First-principles (PBE) data for SrHfS3 after structural relaxation, as listed in the Alexandria database.

Computed properties:
Spin magnetization (μB/cell): 0.0
Uncorrected formation energy (eV per formula unit): -8.69

Unit cell a=13.229 b=8.910 c=8.910 alpha=85.16 beta=126.64 gamma=53.36
Fractional coordinates of all 20 atoms:
1 S 0.577 0.358 0.257
2 S 0.070 0.659 0.600
3 S 0.904 0.051 0.096
4 S 0.930 0.341 0.400
5 S 0.570 0.900 0.841
6 S 0.404 0.404 0.449
7 S 0.430 0.100 0.159
8 S 0.596 0.596 0.551
9 S 0.077 0.243 0.142
10 S 0.096 0.949 0.904
11 S 0.423 0.642 0.743
12 S 0.923 0.757 0.858
13 Sr 0.107 0.470 0.345
14 Sr 0.607 0.155 0.030
15 Sr 0.893 0.530 0.655
16 Sr 0.393 0.845 0.970
17 Hf 0.250 0.823 0.323
18 Hf 0.750 0.177 0.677
19 Hf 0.750 0.484 0.984
20 Hf 0.250 0.516 0.016

---

# 3
First-principles (PBE) data for SrHfS3 after structural relaxation, as listed in the Alexandria database.

Computed properties:
Spin magnetization (μB/cell): 0.0
Uncorrected formation energy (eV per formula unit): -9.09

Unit cell a=7.108 b=9.775 c=6.759 alpha=90.00 beta=90.00 gamma=90.00
Fractional coordinates of all 20 atoms:
1 Hf 0.500 0.000 0.000
2 Hf 0.000 0.000 0.500
3 Hf 0.000 0.500 0.500
4 Hf 0.500 0.500 0.000
5 S 0.698 0.952 0.694
6 S 0.017 0.750 0.407
7 S 0.983 0.250 0.593
8 S 0.483 0.250 0.907
9 S 0.698 0.548 0.694
10 S 0.802 0.048 0.194
11 S 0.302 0.048 0.306
12 S 0.198 0.548 0.806
13 S 0.198 0.952 0.806
14 S 0.517 0.750 0.093
15 S 0.802 0.452 0.194
16 S 0.302 0.452 0.306
17 Sr 0.423 0.750 0.523
18 Sr 0.923 0.750 0.977
19 Sr 0.577 0.250 0.477
20 Sr 0.077 0.250 0.023

---

# 4
First-principles (PBE) data for SrHfS3 after structural relaxation, as listed in the Alexandria database.

Computed properties:
Spin magnetization (μB/cell): 0.0
Uncorrected formation energy (eV per formula unit): -8.37

Unit cell a=13.469 b=9.034 c=9.034 alpha=99.42 beta=130.09 gamma=49.91
Fractional coordinates of all 20 atoms:
1 Hf 0.260 0.941 0.877
2 Hf 0.740 0.059 0.123
3 Hf 0.240 0.377 0.441
4 Hf 0.760 0.623 0.559
5 S 0.976 0.689 0.383
6 S 0.625 0.284 0.251
7 S 0.348 0.431 0.350
8 S 0.375 0.716 0.749
9 S 0.524 0.883 0.189
10 S 0.848 0.150 0.069
11 S 0.125 0.249 0.216
12 S 0.652 0.569 0.650
13 S 0.152 0.850 0.931
14 S 0.024 0.311 0.617
15 S 0.476 0.117 0.811
16 S 0.875 0.751 0.784
17 Sr 0.250 0.437 0.937
18 Sr 0.750 0.563 0.063
19 Sr 0.250 0.841 0.341
20 Sr 0.750 0.159 0.659

---

# 5
First-principles (PBE) data for SrHfS3 after structural relaxation, as listed in the Alexandria database.

Computed properties:
Spin magnetization (μB/cell): 0.0
Uncorrected formation energy (eV per formula unit): -8.81

Unit cell a=8.212 b=7.794 c=3.823 alpha=90.00 beta=90.00 gamma=98.39
Fractional coordinates of all 10 atoms:
1 S 0.139 0.003 0.927
2 S 0.588 0.356 0.927
3 S 0.202 0.572 0.927
4 S 0.485 0.921 0.427
5 S 0.870 0.704 0.427
6 S 0.934 0.274 0.427
7 Sr 0.754 0.992 0.927
8 Sr 0.318 0.285 0.427
9 Hf 0.203 0.803 0.427
10 Hf 0.869 0.473 0.927

---

# 6
First-principles (PBE) data for SrHfS3 after structural relaxation, as listed in the Alexandria database.

Computed properties:
Spin magnetization (μB/cell): 0.0
Uncorrected formation energy (eV per formula unit): -8.74

Unit cell a=10.175 b=7.703 c=3.831 alpha=90.01 beta=79.15 gamma=109.95
Fractional coordinates of all 10 atoms:
1 S 0.262 0.023 0.501
2 S 0.611 0.364 0.826
3 S 0.931 0.705 0.167
4 S 0.452 0.759 0.906
5 S 0.154 0.543 0.555
6 S 0.878 0.238 0.193
7 Sr 0.575 0.055 0.345
8 Sr 0.421 0.459 0.421
9 Hf 0.199 0.785 0.032
10 Hf 0.881 0.453 0.692

---

# 7
First-principles (PBE) data for SrHfS3 after structural relaxation, as listed in the Alexandria database.

Computed properties:
Spin magnetization (μB/cell): 0.0
Uncorrected formation energy (eV per formula unit): 2.22

Unit cell a=5.223 b=5.223 c=5.223 alpha=90.00 beta=90.00 gamma=90.00
Fractional coordinates of all 5 atoms:
1 S 0.500 0.000 0.000
2 S 0.000 0.000 0.500
3 S 0.000 0.500 0.000
4 Hf 0.500 0.500 0.500
5 Sr 0.000 0.000 0.000

---

# 8
First-principles (PBE) data for SrHfS3 after structural relaxation, as listed in the Alexandria database.

Computed properties:
Spin magnetization (μB/cell): 0.0
Uncorrected formation energy (eV per formula unit): -7.56

Unit cell a=9.158 b=9.158 c=9.158 alpha=60.00 beta=60.00 gamma=60.00
Fractional coordinates of all 20 atoms:
1 S 0.961 0.539 0.961
2 S 0.711 0.289 0.289
3 S 0.289 0.289 0.711
4 S 0.711 0.711 0.289
5 S 0.961 0.539 0.539
6 S 0.539 0.961 0.961
7 S 0.711 0.289 0.711
8 S 0.289 0.711 0.711
9 S 0.539 0.961 0.539
10 S 0.539 0.539 0.961
11 S 0.289 0.711 0.289
12 S 0.961 0.961 0.539
13 Sr 0.125 0.125 0.125
14 Sr 0.125 0.625 0.125
15 Sr 0.625 0.125 0.125
16 Sr 0.125 0.125 0.625
17 Hf 0.625 0.125 0.625
18 Hf 0.625 0.625 0.125
19 Hf 0.125 0.625 0.625
20 Hf 0.625 0.625 0.625

---

# 9
First-principles (PBE) data for Sr2HfS after structural relaxation, as listed in the Alexandria database.

Computed properties:
Energy relative to the lowest polymorph listed for this composition (meV per atom): 0.0
Spin magnetization (μB/cell): 1.5
Uncorrected formation energy (eV per formula unit): -1.08

Unit cell a=10.871 b=10.871 c=8.065 alpha=47.63 beta=47.63 gamma=90.00
Fractional coordinates of all 8 atoms:
1 Sr 0.875 0.730 0.750
2 Sr 0.375 0.520 0.750
3 Sr 0.480 0.125 0.250
4 Sr 0.270 0.625 0.250
5 S 0.500 0.500 0.000
6 S 0.250 0.750 0.500
7 Hf 0.750 0.250 0.500
8 Hf 0.000 0.000 0.000

---

# 10
First-principles (PBE) data for SrHf3S after structural relaxation, as listed in the Alexandria database.

Computed properties:
Energy relative to the lowest polymorph listed for this composition (meV per atom): 2390.6
Spin magnetization (μB/cell): 0.0
Uncorrected formation energy (eV per formula unit): 11.12

Unit cell a=5.176 b=5.176 c=5.176 alpha=90.00 beta=90.00 gamma=90.00
Fractional coordinates of all 5 atoms:
1 Hf 0.000 0.000 0.500
2 Hf 0.000 0.500 0.000
3 Hf 0.500 0.000 0.000
4 S 0.500 0.500 0.500
5 Sr 0.000 0.000 0.000

---

# 11
First-principles (PBE) data for SrHfS4 after structural relaxation, as listed in the Alexandria database.

Computed properties:
Spin magnetization (μB/cell): 0.0
Uncorrected formation energy (eV per formula unit): -7.96

Unit cell a=6.879 b=7.279 c=8.053 alpha=116.87 beta=87.82 gamma=90.00
Fractional coordinates of all 12 atoms:
1 S 0.508 0.179 0.853
2 S 0.000 0.739 0.000
3 S 0.492 0.821 0.147
4 S 0.000 0.261 0.000
5 S 0.165 0.719 0.438
6 S 0.835 0.281 0.562
7 S 0.508 0.674 0.853
8 S 0.492 0.326 0.147
9 Hf 0.766 0.440 0.880
10 Hf 0.234 0.560 0.120
11 Sr 0.149 0.139 0.278
12 Sr 0.851 0.861 0.722

---

# 12
First-principles (PBE) data for SrHfS3 after structural relaxation, as listed in the Alexandria database.

Computed properties:
Spin magnetization (μB/cell): 0.0
Uncorrected formation energy (eV per formula unit): -7.82

Unit cell a=7.002 b=12.419 c=6.727 alpha=90.00 beta=90.00 gamma=90.00
Fractional coordinates of all 20 atoms:
1 S 0.684 0.750 0.120
2 S 0.316 0.250 0.880
3 S 0.641 0.903 0.619
4 S 0.859 0.403 0.119
5 S 0.816 0.250 0.620
6 S 0.859 0.097 0.119
7 S 0.184 0.750 0.380
8 S 0.359 0.403 0.381
9 S 0.141 0.903 0.881
10 S 0.641 0.597 0.619
11 S 0.141 0.597 0.881
12 S 0.359 0.097 0.381
13 Hf 0.462 0.250 0.551
14 Hf 0.538 0.750 0.449
15 Hf 0.038 0.750 0.051
16 Hf 0.962 0.250 0.949
17 Sr 0.000 0.000 0.500
18 Sr 0.500 0.000 0.000
19 Sr 0.000 0.500 0.500
20 Sr 0.500 0.500 0.000

---

# 13
First-principles (PBE) data for SrHfS3 after structural relaxation, as listed in the Alexandria database.

Computed properties:
Spin magnetization (μB/cell): 0.0
Uncorrected formation energy (eV per formula unit): -8.25

Unit cell a=3.690 b=7.234 c=10.430 alpha=90.00 beta=89.98 gamma=90.00
Fractional coordinates of all 10 atoms:
1 Sr 0.250 0.250 0.670
2 Sr 0.750 0.750 0.330
3 S 0.250 0.015 0.185
4 S 0.750 0.985 0.815
5 S 0.250 0.750 0.546
6 S 0.750 0.515 0.815
7 S 0.750 0.250 0.454
8 S 0.250 0.485 0.185
9 Hf 0.750 0.250 0.232
10 Hf 0.250 0.750 0.768

---

# 14
First-principles (PBE) data for SrHfS3 after structural relaxation, as listed in the Alexandria database.

Computed properties:
Spin magnetization (μB/cell): 0.0
Uncorrected formation energy (eV per formula unit): -7.52

Unit cell a=3.777 b=7.678 c=7.678 alpha=117.57 beta=90.00 gamma=90.00
Fractional coordinates of all 5 atoms:
1 Hf 0.000 0.412 0.588
2 Sr 0.500 0.078 0.922
3 S 0.500 0.658 0.752
4 S 0.500 0.248 0.342
5 S 0.000 0.233 0.767

---

# 15
First-principles (PBE) data for SrHfS3 after structural relaxation, as listed in the Alexandria database.

Computed properties:
Spin magnetization (μB/cell): 0.0
Uncorrected formation energy (eV per formula unit): -8.75

Unit cell a=4.967 b=7.319 c=7.239 alpha=90.00 beta=69.96 gamma=90.00
Fractional coordinates of all 10 atoms:
1 Sr 0.807 0.250 0.887
2 Sr 0.193 0.750 0.113
3 S 0.633 0.519 0.233
4 S 0.367 0.019 0.767
5 S 0.633 0.981 0.233
6 S 0.022 0.250 0.455
7 S 0.978 0.750 0.545
8 S 0.367 0.481 0.767
9 Hf 0.488 0.750 0.524
10 Hf 0.512 0.250 0.476

---

# 16
First-principles (PBE) data for SrHfS3 after structural relaxation, as listed in the Alexandria database.

Computed properties:
Spin magnetization (μB/cell): 0.1
Uncorrected formation energy (eV per formula unit): -5.75

Unit cell a=5.239 b=5.239 c=9.823 alpha=74.53 beta=74.53 gamma=90.00
Fractional coordinates of all 10 atoms:
1 S 0.617 0.894 0.213
2 S 0.106 0.829 0.787
3 S 0.727 0.727 0.547
4 S 0.106 0.383 0.787
5 S 0.273 0.273 0.453
6 S 0.171 0.894 0.213
7 Hf 0.250 0.750 0.500
8 Hf 0.000 0.000 0.000
9 Sr 0.649 0.149 0.703
10 Sr 0.851 0.351 0.297

---

# 17
First-principles (PBE) data for SrHfS3 after structural relaxation, as listed in the Alexandria database.

Computed properties:
Spin magnetization (μB/cell): 0.0
Uncorrected formation energy (eV per formula unit): -5.12

Unit cell a=4.374 b=4.374 c=7.339 alpha=90.00 beta=90.00 gamma=90.00
Fractional coordinates of all 5 atoms:
1 S 0.000 0.000 0.762
2 S 0.500 0.000 0.394
3 S 0.000 0.500 0.394
4 Hf 0.500 0.500 0.565
5 Sr 0.000 0.000 0.148

---

# 18
First-principles (PBE) data for SrHfS3 after structural relaxation, as listed in the Alexandria database.

Computed properties:
Spin magnetization (μB/cell): 0.0
Uncorrected formation energy (eV per formula unit): -5.32

Unit cell a=8.840 b=8.840 c=5.600 alpha=90.00 beta=90.00 gamma=148.50
Fractional coordinates of all 10 atoms:
1 Hf 0.455 0.545 0.250
2 Hf 0.545 0.455 0.750
3 S 0.583 0.930 0.250
4 S 0.417 0.070 0.750
5 S 0.000 0.000 0.500
6 S 0.000 0.000 0.000
7 S 0.070 0.417 0.250
8 S 0.930 0.583 0.750
9 Sr 0.841 0.159 0.750
10 Sr 0.159 0.841 0.250

---

# 19
First-principles (PBE) data for SrHfS3 after structural relaxation, as listed in the Alexandria database.

Computed properties:
Spin magnetization (μB/cell): 0.0
Uncorrected formation energy (eV per formula unit): -8.81

Unit cell a=3.795 b=7.370 c=9.259 alpha=73.24 beta=90.00 gamma=90.00
Fractional coordinates of all 10 atoms:
1 S 0.709 0.582 0.668
2 S 0.208 0.317 0.978
3 S 0.208 0.808 0.926
4 S 0.209 0.201 0.537
5 S 0.708 0.467 0.227
6 S 0.709 0.976 0.279
7 Sr 0.709 0.144 0.785
8 Sr 0.209 0.639 0.420
9 Hf 0.208 0.205 0.278
10 Hf 0.708 0.579 0.927

---

# 20
First-principles (PBE) data for SrHfS3 after structural relaxation, as listed in the Alexandria database.

Computed properties:
Spin magnetization (μB/cell): 0.0
Uncorrected formation energy (eV per formula unit): -8.84

Unit cell a=6.864 b=6.862 c=5.055 alpha=90.00 beta=90.00 gamma=90.00
Fractional coordinates of all 10 atoms:
1 Sr 0.759 0.918 0.529
2 Sr 0.260 0.360 0.522
3 Hf 0.290 0.885 0.026
4 Hf 0.790 0.392 0.026
5 S 0.794 0.383 0.525
6 S 0.114 0.565 0.022
7 S 0.614 0.711 0.028
8 S 0.474 0.207 0.022
9 S 0.294 0.894 0.526
10 S 0.973 0.070 0.029

---

# 21
First-principles (PBE) data for Sr2HfS after structural relaxation, as listed in the Alexandria database.

Computed properties:
Energy relative to the lowest polymorph listed for this composition (meV per atom): 589.1
Spin magnetization (μB/cell): 3.8
Uncorrected formation energy (eV per formula unit): 1.28

Unit cell a=5.625 b=5.625 c=5.625 alpha=60.00 beta=60.00 gamma=60.00
Fractional coordinates of all 4 atoms:
1 S 0.000 0.000 0.000
2 Sr 0.750 0.750 0.750
3 Sr 0.250 0.250 0.250
4 Hf 0.500 0.500 0.500